A geometry-optimized Sr2ZrFeO6 structure, computed with GGA+U.

The calculation puts the offset from the most stable computed form at 0.003 eV per atom.

It has space group P4/mmm (No. 123), with a = 4.106 Å, b = 4.106 Å, c = 8.007 Å, α = 90.00°, β = 90.00° and γ = 90.00°. The asymmetric unit holds Sr at (0.000, 0.000, 0.231), Zr at (0.500, 0.500, 0.500), Fe at (0.500, 0.500, 0.000), O at (0.000, 0.500, 0.000), O at (0.000, 0.500, 0.500) and O at (0.500, 0.500, 0.237).